Below is crystalline SmScTaO6 at its relaxed geometry, with properties calculated at the PBE level.

Unit cell a=5.5765 b=5.5765 c=4.5042 alpha=90.00 beta=90.00 gamma=120.00
Last column: nearest neighbours and their distance in Å.
Space group P312 (No. 149)
One atom of each set of equivalent atoms:
1 Sm 0.0000 0.0000 0.0000 x1  6 O 2.33
2 Sc 0.6667 0.3333 0.5000 x1  6 O 2.18
3 Ta 0.3333 0.6667 0.0000 x1  6 O 2.01
4 O 0.0160 0.3778 0.2400 x6  1 Ta 2.01, 1 Sc 2.18

The value obtained for the energy relative to the elements, uncorrected is -2.8439 eV per atom. The mass density is 6.5 Mg/m³. The volume comes out at 13.48 Å³/atom.